# 1
Density functional theory data (PBE-GGA) for a relaxed structure of SrZrSbH2.

Computed properties:
mass density	4.58	Mg/m³
E	-4.519	eV/atom

Lattice parameters (Å, degrees): 4.4212 4.4212 5.6107 90.00 90.00 90.00
Fractional coordinates of all 5 atoms:
Sr: 0.0000 0.0000 0.0000
Zr: 0.5000 0.5000 0.5000
Sb: 0.5000 0.5000 0.0000
H: 0.0000 0.5000 0.5000
H: 0.5000 0.0000 0.5000

=====

# 2
Density functional theory data (PBE-GGA) for a relaxed structure of TaSb2H2.

Computed properties:
mass density	9.77	Mg/m³
E	-4.864	eV/atom
excess energy over the best structure of this formula in the dataset	150	meV/atom

Lattice parameters (Å, degrees): 6.5175 6.5175 3.4139 90.00 90.00 90.00
Fractional coordinates of all 10 atoms:
Ta: 0.0000 0.0000 0.0000
Ta: 0.5000 0.5000 0.0000
Sb: 0.1559 0.3441 0.5000
Sb: 0.3441 0.8441 0.5000
Sb: 0.6559 0.1559 0.5000
Sb: 0.8441 0.6559 0.5000
H: 0.1814 0.6814 0.0000
H: 0.3186 0.1814 0.0000
H: 0.6814 0.8186 0.0000
H: 0.8186 0.3186 0.0000

=====

# 3
Density functional theory data (PBE-GGA) for a relaxed structure of Ta2SbH.

Computed properties:
mass density	11.63	Mg/m³
E	-7.382	eV/atom
excess energy over the best structure of this formula in the dataset	0	meV/atom

Lattice parameters (Å, degrees): 5.2589 5.2589 10.0116 90.00 90.00 90.00
Fractional coordinates of all 16 atoms:
Ta: 0.0000 0.0000 0.0000
Ta: 0.0000 0.5000 0.0000
Ta: 0.2500 0.2500 0.7500
Ta: 0.2500 0.7500 0.2500
Ta: 0.5000 0.0000 0.5000
Ta: 0.5000 0.5000 0.5000
Ta: 0.7500 0.2500 0.7500
Ta: 0.7500 0.7500 0.2500
Sb: 0.0000 0.2500 0.3750
Sb: 0.0000 0.7500 0.6250
Sb: 0.5000 0.2500 0.1250
Sb: 0.5000 0.7500 0.8750
H: 0.0000 0.2500 0.8750
H: 0.0000 0.7500 0.1250
H: 0.5000 0.2500 0.6250
H: 0.5000 0.7500 0.3750

=====

# 4
Density functional theory data (PBE-GGA) for a relaxed structure of TaSb3H.

Computed properties:
mass density	9.21	Mg/m³
E	-4.737	eV/atom

Lattice parameters (Å, degrees): 4.6201 4.6201 4.6201 90.00 90.00 90.00
Fractional coordinates of all 5 atoms:
Ta: 0.0000 0.0000 0.0000
Sb: 0.0000 0.5000 0.5000
Sb: 0.5000 0.0000 0.5000
Sb: 0.5000 0.5000 0.0000
H: 0.5000 0.5000 0.5000

=====

# 5
Density functional theory data (PBE-GGA) for a relaxed structure of Ta2SbH.

Computed properties:
mass density	12.05	Mg/m³
E	-7.031	eV/atom
excess energy over the best structure of this formula in the dataset	351	meV/atom

Lattice parameters (Å, degrees): 6.4398 6.4398 6.4398 90.00 90.00 90.00
Fractional coordinates of all 16 atoms:
Ta: 0.2500 0.2500 0.2500
Ta: 0.2500 0.2500 0.7500
Ta: 0.2500 0.7500 0.2500
Ta: 0.2500 0.7500 0.7500
Ta: 0.7500 0.2500 0.2500
Ta: 0.7500 0.2500 0.7500
Ta: 0.7500 0.7500 0.2500
Ta: 0.7500 0.7500 0.7500
Sb: 0.0000 0.0000 0.0000
Sb: 0.0000 0.5000 0.5000
Sb: 0.5000 0.0000 0.5000
Sb: 0.5000 0.5000 0.0000
H: 0.0000 0.0000 0.5000
H: 0.0000 0.5000 0.0000
H: 0.5000 0.0000 0.0000
H: 0.5000 0.5000 0.5000

=====

# 6
Density functional theory data (PBE-GGA) for a relaxed structure of TaSb2H.

Computed properties:
mass density	9.13	Mg/m³
E	-5.168	eV/atom
excess energy over the best structure of this formula in the dataset	170	meV/atom

Lattice parameters (Å, degrees): 6.7651 6.7651 6.7651 90.00 90.00 90.00
Fractional coordinates of all 16 atoms:
Ta: 0.0000 0.0000 0.0000
Ta: 0.0000 0.5000 0.5000
Ta: 0.5000 0.0000 0.5000
Ta: 0.5000 0.5000 0.0000
Sb: 0.2500 0.2500 0.2500
Sb: 0.2500 0.2500 0.7500
Sb: 0.2500 0.7500 0.2500
Sb: 0.2500 0.7500 0.7500
Sb: 0.7500 0.2500 0.2500
Sb: 0.7500 0.2500 0.7500
Sb: 0.7500 0.7500 0.2500
Sb: 0.7500 0.7500 0.7500
H: 0.0000 0.0000 0.5000
H: 0.0000 0.5000 0.0000
H: 0.5000 0.0000 0.0000
H: 0.5000 0.5000 0.5000